Record 1
Here is crystalline ZnCdIn2 at its relaxed geometry from Alexandria. Energies are from PBE.

Cell: 4.5547 4.5547 16.8161 Å, 90.00 90.00 120.00°
Space group R3m (No. 160, hexagonal axes)
Inequivalent atoms, fractional coordinates:
Zn 0.0000 0.0000 0.0000 x3
Cd 0.0000 0.0000 0.1734 x3
In 0.0000 0.0000 0.4012 x3
In 0.0000 0.0000 0.6025 x3

Values from the calculation:
The calculation puts the total magnetization at 0.00 μB per formula unit. The value obtained for the excess energy over the best structure of this formula in the dataset is 3.3 kJ per mole of atoms. For the volume, the calculation gives 302.1 Å³ per cell. As for the density of states at the Fermi level: 1.0 states/eV/f.u. For the final energy, the calculation gives -1.826 eV/atom.



Record 2
Here is crystalline LiZnPt2 at its relaxed geometry from Alexandria. Energies are from PBE.

Cell: 2.723 4.733 10.053 Å, 90.00 90.00 90.00°
Space group Immm (No. 71)
Inequivalent atoms, fractional coordinates:
Li 0.000 0.000 0.000 x2
Zn 0.000 0.000 0.500 x2
Pt 0.000 0.000 0.254 x4

Values from the calculation:
The calculation puts the total magnetization at 0.00 μB per formula unit. For the volume, the calculation gives 129.6 Å³ per cell. As for the density of states at the Fermi level: 1.8 states/eV/f.u. For the final energy, the calculation gives -3.989 eV/atom.



Record 3
Here is crystalline CaTmPd4 at its relaxed geometry from Alexandria. Energies are from PBE.

Cell: 9.697 3.721 6.796 Å, 90.00 110.47 90.00°
Space group C2/m (No. 12)
Inequivalent atoms, fractional coordinates:
Ca 0.000 0.000 0.000 x2
Tm 0.000 0.000 0.500 x2
Pd 0.166 0.500 0.350 x4
Pd 0.171 0.500 0.816 x4

Values from the calculation:
The calculation puts the total magnetization at 0.00 μB per formula unit. The value obtained for the excess energy over the best structure of this formula in the dataset is 9.3 kJ per mole of atoms. For the volume, the calculation gives 229.7 Å³ per cell. As for the density of states at the Fermi level: 2.7 states/eV/f.u. For the final energy, the calculation gives -5.182 eV/atom.



no.,E_form (eV per atom)
1,0.09
2,-0.17
3,-0.64